Material: CsSmIBr3
Method: DFT, PBE
State: relaxed

formation energy from raw total energies	-164.0	kJ/mol of atoms

a = 14.366 Å, b = 8.212 Å, c = 10.801 Å
α = 90.00°, β = 96.38°, γ = 90.00°
Space group C2/m (No. 12)
One atom of each set of equivalent atoms:
Cs: 0.161 0.000 0.389 [4 per cell]
Sm: 0.025 0.500 0.783 [4 per cell]
I: 0.000 0.253 0.000 [4 per cell]
Br: 0.117 0.253 0.675 [8 per cell]
Br: 0.150 0.500 0.336 [4 per cell]

---

Material: LaNiAgSn
Method: DFT, PBE
State: relaxed

ΔH_f (0 K)	-1.3	eV/f.u.

a = 6.995 Å, b = 6.995 Å, c = 6.995 Å
α = 90.00°, β = 90.00°, γ = 90.00°
Space group F-43m (No. 216)
One atom of each set of equivalent atoms:
La: 0.000 0.000 0.000 [4 per cell]
Ni: 0.250 0.250 0.250 [4 per cell]
Ag: 0.250 0.250 0.750 [4 per cell]
Sn: 0.000 0.000 0.500 [4 per cell]

---

Material: LiV3Bi
Method: DFT, PBE
State: relaxed

energy above the most stable polymorph in this dataset	0.0	meV per atom
ΔH_f (0 K)	5.0	eV/f.u.

a = 4.292 Å, b = 4.292 Å, c = 4.292 Å
α = 90.00°, β = 90.00°, γ = 90.00°
Space group Pm-3m (No. 221)
One atom of each set of equivalent atoms:
Li: 0.000 0.000 0.000 [1 per cell]
V: 0.000 0.000 0.500 [3 per cell]
Bi: 0.500 0.500 0.500 [1 per cell]

---

Number 1: spin magnetization 0.0 μB per formula unit. Number 2: spin magnetization 0.0 μB per formula unit. Number 3: spin magnetization 0.2 μB per formula unit.